No. 1
Computed, not measured: crystalline La2PrPbN at its relaxed geometry at the PBE level of DFT.

a = 5.108 Å, b = 5.108 Å, c = 5.140 Å
α = 90.00°, β = 90.00°, γ = 90.00°
Sites, in units of the cell vectors:
La: 0.000 0.500 0.000
La: 0.500 0.000 0.000
Pr: 0.000 0.000 0.500
Pb: 0.500 0.500 0.500
N: 0.000 0.000 0.000

Calculated values
Formation energy from raw total energies ... -0.9119 eV per atom
Crystal system ... tetragonal
Space-group type ... P4/mmm, No. 123
Total magnetization ... 0.00 Bohr magnetons per cell

No. 2
Computed, not measured: crystalline Rb2BF at its relaxed geometry at the PBE level of DFT.

a = 5.357 Å, b = 5.357 Å, c = 5.357 Å
α = 60.00°, β = 60.00°, γ = 60.00°
Sites, in units of the cell vectors:
Rb: 0.250 0.250 0.250
Rb: 0.750 0.750 0.750
B: 0.000 0.000 0.000
F: 0.500 0.500 0.500

Calculated values
Formation energy from raw total energies ... -0.0498 eV per atom
Crystal system ... cubic
Space-group type ... Fm-3m, No. 225
Total magnetization ... 2.00 Bohr magnetons per cell
Energy relative to the lowest polymorph listed for this composition ... 157 meV per atom

No. 3
Computed, not measured: crystalline K3CaCl at its relaxed geometry at the PBE level of DFT.

a = 7.610 Å, b = 7.610 Å, c = 7.610 Å
α = 90.00°, β = 90.00°, γ = 90.00°
Sites, in units of the cell vectors:
K: 0.000 0.000 0.500
K: 0.000 0.500 0.000
K: 0.500 0.000 0.000
Ca: 0.000 0.000 0.000
Cl: 0.500 0.500 0.500

Calculated values
Formation energy from raw total energies ... 0.0750 eV per atom
Crystal system ... cubic
Space-group type ... Pm-3m, No. 221
Total magnetization ... 1.89 Bohr magnetons per cell
Energy relative to the lowest polymorph listed for this composition ... 646 meV per atom

No. 4
Computed, not measured: crystalline Nd6HgIr2I3 at its relaxed geometry at the PBE level of DFT.

a = 7.448 Å, b = 7.448 Å, c = 8.501 Å
α = 98.41°, β = 98.41°, γ = 119.97°
Sites, in units of the cell vectors:
Nd: 0.074 0.435 0.808
Nd: 0.202 0.202 0.190
Nd: 0.435 0.074 0.808
Nd: 0.565 0.926 0.192
Nd: 0.798 0.798 0.810
Nd: 0.926 0.565 0.192
Hg: 0.500 0.500 0.000
Ir: 0.167 0.833 0.000
Ir: 0.833 0.167 0.000
I: 0.000 0.000 0.500
I: 0.337 0.663 0.500
I: 0.663 0.337 0.500

Calculated values
Formation energy from raw total energies ... -0.8688 eV per atom
Crystal system ... monoclinic
Space-group type ... C2/m, No. 12
Total magnetization ... 0.00 Bohr magnetons per cell

No. 5
Computed, not measured: crystalline NdEr2Ag2 at its relaxed geometry at the PBE level of DFT.

a = 3.633 Å, b = 5.328 Å, c = 13.592 Å
α = 90.00°, β = 97.65°, γ = 90.00°
Sites, in units of the cell vectors:
Nd: 0.146 0.250 0.291
Nd: 0.854 0.750 0.709
Er: 0.047 0.750 0.095
Er: 0.235 0.750 0.469
Er: 0.765 0.250 0.531
Er: 0.953 0.250 0.905
Ag: 0.357 0.250 0.715
Ag: 0.457 0.750 0.913
Ag: 0.543 0.250 0.087
Ag: 0.643 0.750 0.285

Calculated values
Formation energy from the elements ... -0.22 eV per atom
Crystal system ... monoclinic
Space-group type ... P2_1/m, No. 11
Total magnetization ... 0.00 Bohr magnetons per cell
Energy relative to the lowest polymorph listed for this composition ... 0 meV per atom

No. 6
Computed, not measured: crystalline Ho3Te2S at its relaxed geometry at the PBE level of DFT.

a = 7.214 Å, b = 7.214 Å, c = 7.341 Å
α = 99.42°, β = 99.42°, γ = 120.00°
Sites, in units of the cell vectors:
Ho: 0.066 0.427 0.785
Ho: 0.206 0.206 0.206
Ho: 0.427 0.066 0.785
Ho: 0.573 0.934 0.215
Ho: 0.794 0.794 0.794
Ho: 0.934 0.573 0.215
Te: 0.000 0.000 0.500
Te: 0.343 0.657 0.500
Te: 0.500 0.500 0.000
Te: 0.657 0.343 0.500
S: 0.169 0.831 0.000
S: 0.831 0.169 0.000

Calculated values
Formation energy from raw total energies ... -1.4910 eV per atom
Crystal system ... monoclinic
Space-group type ... C2/m, No. 12
Total magnetization ... 0.00 Bohr magnetons per cell
Energy relative to the lowest polymorph listed for this composition ... 0 meV per atom

No. 7
Computed, not measured: crystalline Sr2PbO2F2 at its relaxed geometry at the PBE level of DFT.

a = 7.347 Å, b = 7.347 Å, c = 7.347 Å
α = 142.66°, β = 142.66°, γ = 53.83°
Sites, in units of the cell vectors:
Sr: 0.121 0.121 0.000
Sr: 0.879 0.879 0.000
Pb: 0.500 0.500 0.000
O: 0.000 0.500 0.500
O: 0.500 0.000 0.500
F: 0.296 0.296 0.000
F: 0.704 0.704 0.000

Calculated values
Formation energy from raw total energies ... -2.3843 eV per atom
Crystal system ... tetragonal
Space-group type ... I4/mmm, No. 139
Total magnetization ... 0.00 Bohr magnetons per cell

No. 8
Computed, not measured: crystalline La6Si2BrCl3 at its relaxed geometry at the PBE level of DFT.

a = 9.539 Å, b = 9.539 Å, c = 8.441 Å
α = 101.47°, β = 101.47°, γ = 26.45°
Sites, in units of the cell vectors:
La: 0.004 0.004 0.260
La: 0.330 0.330 0.425
La: 0.331 0.331 0.903
La: 0.669 0.669 0.097
La: 0.670 0.670 0.575
La: 0.996 0.996 0.740
Si: 0.165 0.165 0.330
Si: 0.835 0.835 0.670
Br: 0.500 0.500 0.000
Cl: 0.168 0.168 0.835
Cl: 0.500 0.500 0.500
Cl: 0.832 0.832 0.165

Calculated values
Formation energy from raw total energies ... -1.3240 eV per atom
Crystal system ... monoclinic
Space-group type ... C2/m, No. 12
Total magnetization ... 0.00 Bohr magnetons per cell

No. 9
Computed, not measured: crystalline ZrCu2Au2 at its relaxed geometry at the PBE level of DFT.

a = 7.354 Å, b = 7.354 Å, c = 3.050 Å
α = 90.00°, β = 90.00°, γ = 90.00°
Sites, in units of the cell vectors:
Zr: 0.000 0.000 0.000
Zr: 0.500 0.500 0.000
Cu: 0.118 0.382 0.000
Cu: 0.382 0.882 0.000
Cu: 0.618 0.118 0.000
Cu: 0.882 0.618 0.000
Au: 0.179 0.679 0.500
Au: 0.321 0.179 0.500
Au: 0.679 0.821 0.500
Au: 0.821 0.321 0.500

Calculated values
Formation energy from the elements ... -0.18 eV per atom
Crystal system ... tetragonal
Space-group type ... P4/mbm, No. 127
Total magnetization ... 0.00 Bohr magnetons per cell
Energy relative to the lowest polymorph listed for this composition ... 0 meV per atom

No. 10
Computed, not measured: crystalline TcPAu2 at its relaxed geometry at the PBE level of DFT.

a = 9.005 Å, b = 9.005 Å, c = 9.005 Å
α = 18.70°, β = 18.70°, γ = 18.70°
Sites, in units of the cell vectors:
Tc: 0.000 0.000 0.000
P: 0.500 0.500 0.500
Au: 0.248 0.248 0.248
Au: 0.752 0.752 0.752

Calculated values
Formation energy from the elements ... 0.48 eV per atom
Crystal system ... trigonal
Space-group type ... R-3m, No. 166
Total magnetization ... 0.00 Bohr magnetons per cell

No. 11
Computed, not measured: crystalline NbGa2Ru2 at its relaxed geometry at the PBE level of DFT.

a = 7.182 Å, b = 7.182 Å, c = 2.929 Å
α = 90.00°, β = 90.00°, γ = 90.00°
Sites, in units of the cell vectors:
Nb: 0.000 0.000 0.000
Nb: 0.500 0.500 0.000
Ga: 0.128 0.372 0.000
Ga: 0.372 0.872 0.000
Ga: 0.628 0.128 0.000
Ga: 0.872 0.628 0.000
Ru: 0.171 0.671 0.500
Ru: 0.329 0.171 0.500
Ru: 0.671 0.829 0.500
Ru: 0.829 0.329 0.500

Calculated values
Formation energy from the elements ... -0.23 eV per atom
Crystal system ... tetragonal
Space-group type ... P4/mbm, No. 127
Total magnetization ... 0.00 Bohr magnetons per cell
Energy relative to the lowest polymorph listed for this composition ... 0 meV per atom

No. 12
Computed, not measured: crystalline Hg3OsO at its relaxed geometry at the PBE level of DFT.

a = 5.292 Å, b = 5.292 Å, c = 5.292 Å
α = 90.00°, β = 90.00°, γ = 90.00°
Sites, in units of the cell vectors:
Hg: 0.000 0.000 0.500
Hg: 0.000 0.500 0.000
Hg: 0.500 0.000 0.000
Os: 0.000 0.000 0.000
O: 0.500 0.500 0.500

Calculated values
Formation energy from raw total energies ... 1.1628 eV per atom
Crystal system ... cubic
Space-group type ... Pm-3m, No. 221
Total magnetization ... 3.17 Bohr magnetons per cell
Energy relative to the lowest polymorph listed for this composition ... 58 meV per atom

No. 13
Computed, not measured: crystalline VWS2 at its relaxed geometry at the PBE level of DFT.

a = 4.215 Å, b = 4.215 Å, c = 4.215 Å
α = 60.00°, β = 60.00°, γ = 60.00°
Sites, in units of the cell vectors:
V: 0.000 0.000 0.000
W: 0.500 0.500 0.500
S: 0.250 0.250 0.250
S: 0.750 0.750 0.750

Calculated values
Formation energy from raw total energies ... -0.1465 eV per atom
Crystal system ... cubic
Space-group type ... Fm-3m, No. 225
Total magnetization ... 1.18 Bohr magnetons per cell
Energy relative to the lowest polymorph listed for this composition ... 118 meV per atom

No. 14
Computed, not measured: crystalline CeLuMg2 at its relaxed geometry at the PBE level of DFT.

a = 3.633 Å, b = 3.633 Å, c = 8.177 Å
α = 90.00°, β = 90.00°, γ = 90.00°
Sites, in units of the cell vectors:
Ce: 0.000 0.000 0.000
Lu: 0.000 0.000 0.500
Mg: 0.500 0.500 0.264
Mg: 0.500 0.500 0.736

Calculated values
Formation energy from the elements ... 0.03 eV per atom
Crystal system ... tetragonal
Space-group type ... P4/mmm, No. 123
Total magnetization ... 1.00 Bohr magnetons per cell
Energy relative to the lowest polymorph listed for this composition ... 26 meV per atom